VASP calculation (PBE) on a relaxed structure of SbAsNF2.

abc: 4.2539 4.2539 4.1543
angles: 90.00 90.00 90.00
Space group P4/mmm (No. 123)
Symmetry-distinct sites (fractional):
Sb: 0.0000 0.0000 0.0000 (multiplicity 1)
As: 0.5000 0.5000 0.5000 (multiplicity 1)
N: 0.5000 0.5000 0.0000 (multiplicity 1)
F: 0.0000 0.5000 0.5000 (multiplicity 2)

Values from the calculation:
The size of the total moment comes out at 0.00 μB per formula unit. The formation energy from raw total energies comes out at -0.1966 eV per atom.